# Pa2Ge4Pd3Pt

Pa2Ge4Pd3Pt after structural relaxation (PBE, Alexandria).

a b c (Å): 4.3583 4.3583 9.8050
angles (deg): 90.00 90.00 90.00
Fractional coordinates of all 10 atoms:
Pa1 0.0000 0.5000 0.2474
Pa2 0.5000 0.0000 0.7526
Ge1 0.0000 0.0000 0.5000
Ge2 0.0000 0.5000 0.8674
Ge3 0.5000 0.0000 0.1326
Ge4 0.5000 0.5000 0.5000
Pd1 0.0000 0.0000 0.0000
Pd2 0.0000 0.5000 0.6228
Pd3 0.5000 0.0000 0.3772
Pt1 0.5000 0.5000 0.0000

Results
As for the space group: P-4m2 (115). For the volume, the calculation gives 18.6 Å³ per atom. The value obtained for the total energy is -65.3 eV/cell.